Record 1
Compound: AcMnAs2O8
Source: the Alexandria database
Functional: PBE with a Hubbard U
Structure: relaxed Values from VASP.

Energy (eV/cell): -80.79
DOS(E_F) (states/eV/atom): 0.7871
Spin magnetization (μB per formula unit): 3.94

```
&SYSTEM
  ibrav = 0, nat = 12, ntyp = 4
/
ATOMIC_SPECIES
Ac 227.00 Ac.upf
Mn 54.94 Mn.upf
As 74.92 As.upf
O 16.00 O.upf
CELL_PARAMETERS angstrom
6.189 0.015 0.000
-2.732 5.553 0.000
-1.729 -2.784 5.250
ATOMIC_POSITIONS angstrom
Ac 0.000 0.000 0.000
Mn -1.366 2.777 2.625
As 3.094 0.007 2.625
As 1.729 2.784 0.000
O 1.721 -0.501 1.726
O 0.348 2.394 0.967
O 0.263 -1.411 4.283
O 3.248 -1.449 3.524
O 3.110 3.174 0.967
O 4.468 0.515 1.726
O 2.941 1.464 3.524
O -0.263 1.411 4.283
```

---

Record 2
Compound: AcMnAsO6
Source: the Alexandria database
Functional: PBE with a Hubbard U
Structure: relaxed Values from VASP.

Energy (eV/cell): -64.22
DOS(E_F) (states/eV/atom): 0.0000
Spin magnetization (μB per formula unit): 2.99

```
&SYSTEM
  ibrav = 0, nat = 9, ntyp = 4
/
ATOMIC_SPECIES
Ac 227.00 Ac.upf
Mn 54.94 Mn.upf
As 74.92 As.upf
O 16.00 O.upf
CELL_PARAMETERS angstrom
5.396 0.000 0.000
0.000 5.050 0.000
0.000 -2.525 4.373
ATOMIC_POSITIONS angstrom
Ac 0.000 0.000 2.916
Mn 2.698 2.525 1.458
As 2.698 0.000 0.000
O 3.764 1.934 2.959
O 3.764 1.520 0.195
O 3.764 4.121 1.219
O 1.631 0.929 1.219
O 1.631 3.530 0.195
O 1.631 3.116 2.959
```